5
Lattice="-1.208 -3.949 -3.873 3.477 -3.625 2.612 -4.088 -1.731 3.039" Properties=species:S:1:pos:R:3 comment="SrMgP2Cl (PBE, optimized geometry)" e_form_raw_ev_per_fu=1.67 final_energy_ev_per_atom=-2.855 polymorph_energy_kj_per_mol_atoms=82.59 pbc="T T T"
Sr 0.000 0.000 0.000
Mg -0.909 -4.652 0.889
P 1.738 -1.813 1.306
P -0.604 -1.974 -1.937
Cl -2.044 -0.865 1.519